Entry from the Alexandria database: a relaxed K3Na12Ca crystal (PBE).

abc: 5.5310 5.5310 22.6074
angles: 90.00 90.00 90.00
With the nearest neighbours (Å) after each atom.
Fractional coordinates of all 16 atoms:
1 K 0.0000 0.0000 0.2441  12 Na 3.91-4.02
2 K 0.0000 0.0000 0.5000  12 Na 3.91-3.98
3 K 0.0000 0.0000 0.7559  12 Na 3.91-4.02
4 Na 0.5000 0.5000 0.0000  8 Na 3.83, 4 Ca 3.91
5 Na 0.5000 0.5000 0.2499  4 K 3.91, 8 Na 3.93-4.08
6 Na 0.5000 0.5000 0.5000  4 K 3.91, 8 Na 3.98
7 Na 0.5000 0.5000 0.7501  4 K 3.91, 8 Na 3.93-4.08
8 Na 0.5000 0.0000 0.1173  2 Ca 3.83, 8 Na 3.83-4.08, 2 K 3.98
9 Na 0.5000 0.0000 0.3731  8 Na 3.91-3.98, 4 K 3.98-4.02
10 Na 0.5000 0.0000 0.6269  8 Na 3.91-3.98, 4 K 3.98-4.02
11 Na 0.5000 0.0000 0.8827  2 Ca 3.83, 8 Na 3.83-4.08, 2 K 3.98
12 Na 0.0000 0.5000 0.1173  8 Na 3.83-4.08, 2 Ca 3.83, 2 K 3.98
13 Na 0.0000 0.5000 0.3731  8 Na 3.91-3.98, 4 K 3.98-4.02
14 Na 0.0000 0.5000 0.6269  8 Na 3.91-3.98, 4 K 3.98-4.02
15 Na 0.0000 0.5000 0.8827  8 Na 3.83-4.08, 2 Ca 3.83, 2 K 3.98
16 Ca 0.0000 0.0000 0.0000  12 Na 3.83-3.91

Summary:
As for the space group: No. 123. As for the density of states at the Fermi level: 0.6740 states/eV per atom. The total magnetization is 0.0000 μB/atom. The energy of formation from the pure elements is 0.8 eV/f.u.

Entry from the Alexandria database: a relaxed TbPm2ThS4 crystal (PBE).

abc: 3.9887 6.9725 6.9444
angles: 109.25 90.00 90.00
With the nearest neighbours (Å) after each atom.
Fractional coordinates of all 8 atoms:
1 Tb 0.0000 0.0000 0.0000  6 S 2.80
2 Pm 0.5000 0.0000 0.5000  6 S 2.83
3 Pm 0.0000 0.5000 0.5000  6 S 2.87-2.88
4 Th 0.5000 0.5000 0.0000  6 S 2.84
5 S 0.5000 0.2428 0.2436  2 Tb 2.80, 3 Pm 2.83-2.87, 1 Th 2.84
6 S 0.5000 0.7572 0.7564  2 Tb 2.80, 3 Pm 2.83-2.87, 1 Th 2.84
7 S 0.0000 0.2451 0.7519  1 Tb 2.80, 3 Pm 2.83-2.88, 2 Th 2.84
8 S 0.0000 0.7549 0.2481  1 Tb 2.80, 3 Pm 2.83-2.88, 2 Th 2.84

Summary:
As for the space group: No. 10. As for the uncorrected formation energy: -45.4 kcal/mol of atoms. As for the density of states at the Fermi level: 0.4143 states/eV per atom. The total magnetization is 0.0000 μB/atom.

Entry from the Alexandria database: a relaxed Sr2HgW crystal (PBE).

abc: 3.2591 3.2581 10.5997
angles: 72.09 90.00 90.00
With the nearest neighbours (Å) after each atom.
Fractional coordinates of all 4 atoms:
1 Hg 0.5000 0.7500 0.7500  4 Hg 3.26, 8 Sr 3.50
2 Sr 0.0000 0.9894 0.0108  4 Sr 3.26, 4 W 3.34, 4 Hg 3.50
3 Sr 0.0000 0.5106 0.4892  4 Sr 3.26, 4 W 3.34, 4 Hg 3.50
4 W 0.5000 0.2500 0.2500  4 W 3.26, 8 Sr 3.34

Summary:
As for the space group: No. 123. As for the density of states at the Fermi level: 1.1443 states/eV per atom. The total magnetization is 0.0000 μB/atom. The energy of formation from the pure elements is 2.8 eV/f.u.

Entry from the Alexandria database: a relaxed Li2Ca3Cl8 crystal (PBE).

abc: 8.1571 8.6810 11.1764
angles: 90.00 90.00 118.02
With the nearest neighbours (Å) after each atom.
Fractional coordinates of all 26 atoms:
1 Li 0.6155 0.2311 0.1066  4 Cl 2.40-2.60
2 Li 0.8845 0.7689 0.6066  4 Cl 2.40-2.60
3 Li 0.1155 0.2311 0.3934  4 Cl 2.40-2.60
4 Li 0.3845 0.7689 0.8934  4 Cl 2.40-2.60
5 Ca 0.6022 0.7043 0.2500  6 Cl 2.70-2.86
6 Ca 0.5000 0.0000 0.5000  6 Cl 2.75-2.78
7 Ca 0.8978 0.2957 0.7500  6 Cl 2.70-2.86
8 Ca 0.1022 0.7043 0.2500  6 Cl 2.70-2.86
9 Ca 0.0000 0.0000 0.0000  6 Cl 2.75-2.78
10 Ca 0.3978 0.2957 0.7500  6 Cl 2.70-2.86
11 Cl 0.6295 0.7587 0.0078  1 Li 2.41
12 Cl 0.6292 0.7587 0.4922  1 Li 2.41
13 Cl 0.0172 0.0343 0.7522  1 Li 2.60, 3 Ca 2.78-2.86
14 Cl 0.7635 0.5271 0.7437  1 Li 2.40
15 Cl 0.4828 0.9657 0.2522  1 Li 2.60, 3 Ca 2.78-2.86
16 Cl 0.7365 0.4729 0.2437  1 Li 2.40
17 Cl 0.1295 0.7587 0.4922  1 Li 2.41
18 Cl 0.8708 0.2413 0.9922  1 Li 2.41
19 Cl 0.1292 0.7587 0.0078  1 Li 2.41
20 Cl 0.8705 0.2413 0.5078  1 Li 2.41
21 Cl 0.9828 0.9657 0.2478  1 Li 2.60, 3 Ca 2.78-2.86
22 Cl 0.5172 0.0343 0.7478  1 Li 2.60, 3 Ca 2.78-2.86
23 Cl 0.2365 0.4729 0.2563  1 Li 2.40
24 Cl 0.2635 0.5271 0.7563  1 Li 2.40
25 Cl 0.3708 0.2413 0.5078  1 Li 2.41
26 Cl 0.3705 0.2413 0.9922  1 Li 2.41

Summary:
As for the space group: No. 64. As for the uncorrected formation energy: -50.8 kcal/mol of atoms. As for the density of states at the Fermi level: 0.0000 states/eV per atom. The total magnetization is 0.0000 μB/atom.

Entry from the Alexandria database: a relaxed Cr2GaGeW crystal (PBE).

abc: 4.7790 4.8674 4.7790
angles: 90.00 90.00 90.00
With the nearest neighbours (Å) after each atom.
Fractional coordinates of all 5 atoms:
1 Cr 0.0000 0.0000 0.5000  2 W 2.39
2 Cr 0.5000 0.0000 0.0000  2 W 2.39
3 Ge 0.0000 0.5000 0.0000  2 W 2.43
4 Ga 0.5000 0.5000 0.5000  4 Ge 3.38, 8 Cr 3.41
5 W 0.0000 0.0000 0.0000  4 Cr 2.39, 2 Ge 2.43

Summary:
As for the space group: No. 123. As for the density of states at the Fermi level: 0.5496 states/eV per atom. The total magnetization is 1.1641 μB/atom. The energy of formation from the pure elements is 6.0 eV/f.u.

Entry from the Alexandria database: a relaxed ZrBe3 crystal (PBE).

abc: 2.6986 2.6986 8.1796
angles: 90.00 90.00 120.00
With the nearest neighbours (Å) after each atom.
Fractional coordinates of all 4 atoms:
1 Be 0.0000 0.0000 0.0433  3 Be 2.30
2 Be 0.0000 0.0000 0.4567  3 Be 2.30
3 Be 0.6667 0.3333 0.2500  6 Be 2.30
4 Zr 0.6667 0.3333 0.7500  6 Zr 2.70, 6 Be 2.86

Summary:
As for the space group: No. 187. As for the density of states at the Fermi level: 0.4379 states/eV per atom. The total magnetization is 0.0000 μB/atom. The energy of formation from the pure elements is 1.8 eV/f.u. The energy above the most stable polymorph in this dataset comes out at 239.6 kJ/mol of formula units.

Entry from the Alexandria database: a relaxed ScTa2Au crystal (PBE).

abc: 3.3294 4.5075 6.7167
angles: 47.83 90.00 90.00
With the nearest neighbours (Å) after each atom.
Fractional coordinates of all 4 atoms:
1 Au 0.5000 0.5000 0.5000  4 Sc 2.80, 4 Ta 2.99
2 Sc 0.0000 0.0000 0.5000  4 Au 2.80, 4 Ta 2.99
3 Ta 0.0000 0.0000 0.0000  4 Ta 2.80, 4 Au 2.99
4 Ta 0.5000 0.5000 0.0000  4 Ta 2.80, 4 Sc 2.99

Summary:
As for the space group: No. 47. As for the density of states at the Fermi level: 0.7510 states/eV per atom. The total magnetization is 0.0000 μB/atom. The energy of formation from the pure elements is -0.4 eV/f.u. The energy above the most stable polymorph in this dataset comes out at 13.0 kJ/mol of formula units.